# 1
{"formula": "Ce2NpPdS5", "functional": "GGA-PBE", "state": "relaxed", "formation_energy_uncorrected_mev_per_atom": -1530, "lattice_angstrom": [[-2.4916, 0.6363, -2.9434], [-1.0512, -8.1300, 1.7274], [-8.5923, 2.7843, 7.8753]], "species": ["Ce", "Ce", "Ce", "Ce", "Np", "Np", "Pd", "Pd", "S", "S", "S", "S", "S", "S", "S", "S", "S", "S"], "fractional_positions": [[0.8891, 0.7782, 0.8502], [0.1195, 0.2389, 0.6974], [0.1109, 0.2218, 0.3502], [0.8805, 0.7611, 0.1974], [0.8202, 0.6405, 0.5254], [0.1798, 0.3595, 0.0254], [0.5517, 0.1035, 0.9187], [0.4483, 0.8965, 0.4187], [0.3452, 0.6903, 0.0221], [0.6953, 0.3907, 0.8632], [0.4944, 0.9888, 0.7395], [0.3042, 0.6084, 0.6846], [0.9869, 0.9738, 0.5230], [0.6548, 0.3097, 0.5221], [0.3047, 0.6093, 0.3632], [0.5056, 0.0112, 0.2395], [0.6958, 0.3916, 0.1846], [0.0131, 0.0262, 0.0230]]}


# 2
{"formula": "AlCdRu2", "functional": "GGA-PBE", "state": "relaxed", "polymorph_energy_mev_per_atom": 126, "formation_enthalpy_0k_ev_per_atom": 0.05, "lattice_angstrom": [[-2.3439, -0.6918, -2.6951], [-1.4165, -1.8222, 1.6996], [-4.9651, 2.7261, 3.6183]], "species": ["Ru", "Ru", "Al", "Cd"], "fractional_positions": [[0.0000, 0.9653, 0.0349], [0.5000, 0.2481, 0.2516], [0.0000, 0.5420, 0.4581], [0.5000, 0.7447, 0.7554]]}


# 3
{"formula": "NpNi2Ge4", "functional": "GGA-PBE", "state": "relaxed", "formation_enthalpy_0k_ev_per_atom": -0.25, "lattice_angstrom": [[4.0526, 0.0000, 0.0000], [0.0000, 6.4774, 0.0000], [0.0000, 0.0000, 17.6260]], "species": ["Np", "Np", "Np", "Np", "Ni", "Ni", "Ni", "Ni", "Ni", "Ni", "Ni", "Ni", "Ge", "Ge", "Ge", "Ge", "Ge", "Ge", "Ge", "Ge", "Ge", "Ge", "Ge", "Ge", "Ge", "Ge", "Ge", "Ge"], "fractional_positions": [[0.7500, 0.0168, 0.6396], [0.2500, 0.9832, 0.3604], [0.2500, 0.5168, 0.8604], [0.7500, 0.4832, 0.1396], [0.2500, 0.7416, 0.5303], [0.7500, 0.2584, 0.4697], [0.7500, 0.2416, 0.9697], [0.2500, 0.7584, 0.0303], [0.2500, 0.0002, 0.7940], [0.7500, 0.9998, 0.2060], [0.7500, 0.5002, 0.7060], [0.2500, 0.4998, 0.2940], [0.2500, 0.2936, 0.7027], [0.7500, 0.7064, 0.2973], [0.7500, 0.7936, 0.7973], [0.2500, 0.2064, 0.2027], [0.2500, 0.7108, 0.6797], [0.7500, 0.2892, 0.3203], [0.7500, 0.2108, 0.8203], [0.2500, 0.7892, 0.1797], [0.2500, 0.1348, 0.5283], [0.7500, 0.8652, 0.4717], [0.7500, 0.6348, 0.9717], [0.2500, 0.3652, 0.0283], [0.2500, 0.4795, 0.4318], [0.7500, 0.5205, 0.5682], [0.7500, 0.9795, 0.0682], [0.2500, 0.0205, 0.9318]]}


# 4
{"formula": "Y2ZnIr", "functional": "GGA-PBE", "state": "relaxed", "formation_enthalpy_0k_ev_per_atom": -0.32, "lattice_angstrom": [[4.0463, 0.0000, 0.0000], [0.0000, 4.0429, 0.0000], [0.0000, 0.0000, 5.8518]], "species": ["Ir", "Y", "Y", "Zn"], "fractional_positions": [[0.5000, 0.5000, 0.8362], [0.0000, 0.0000, 0.9182], [0.5000, 0.5000, 0.3111], [0.0000, 0.0000, 0.4344]]}


# 5
{"formula": "Na2PrPu3Se6", "functional": "GGA-PBE", "state": "relaxed", "formation_energy_uncorrected_mev_per_atom": -1537, "lattice_angstrom": [[-7.0311, -1.3659, -1.3925], [5.1330, -4.6861, -2.2212], [0.1077, -1.4001, 7.1912]], "species": ["Na", "Na", "Pr", "Pu", "Pu", "Pu", "Se", "Se", "Se", "Se", "Se", "Se"], "fractional_positions": [[0.3338, 0.6662, 0.0000], [0.6662, 0.3338, 0.0000], [0.0000, 0.0000, 0.0000], [0.1680, 0.8320, 0.5000], [0.8320, 0.1680, 0.5000], [0.5000, 0.5000, 0.5000], [0.9133, 0.5829, 0.7401], [0.7566, 0.7566, 0.2601], [0.0867, 0.4171, 0.2599], [0.5829, 0.9133, 0.7401], [0.2434, 0.2434, 0.7399], [0.4171, 0.0867, 0.2599]]}


# 6
{"formula": "Cs5Cl4", "functional": "GGA-PBE", "state": "relaxed", "formation_energy_uncorrected_mev_per_atom": -1715, "lattice_angstrom": [[-0.1676, -6.7614, 2.1846], [5.7614, -5.1892, -4.0567], [5.3704, -1.7055, 6.6954]], "species": ["Cs", "Cs", "Cs", "Cs", "Cs", "Cl", "Cl", "Cl", "Cl"], "fractional_positions": [[0.5000, 0.0000, 0.0000], [0.1037, 0.5899, 0.2026], [0.3064, 0.7974, 0.5899], [0.6936, 0.2026, 0.4101], [0.8963, 0.4101, 0.7974], [0.1998, 0.1984, 0.4020], [0.6018, 0.5980, 0.1984], [0.3982, 0.4020, 0.8016], [0.8002, 0.8016, 0.5980]]}


What are the calculated density values for these records? In order: 6.82 8.95 9.26 7.55 7.25 2.95 g cm⁻³.
What are the energy values for these records? In order: -7.16 -5.75 -6.39 -6.08 -7.48 -3.01 eV/atom.